# 1
! Cs2Tm3TlF12 (GGA-PBE, optimized geometry); values from VASP
&SYSTEM
  ibrav = 0, nat = 18, ntyp = 4
/
ATOMIC_SPECIES
Cs 132.91 Cs.upf
Tm 168.93 Tm.upf
Tl 204.38 Tl.upf
F 19.00 F.upf
CELL_PARAMETERS angstrom
8.2138 -0.0346 -0.0246
4.0263 7.1594 -0.0246
4.0263 2.3436 6.7650
ATOMIC_POSITIONS crystal
Cs 0.6315 0.6315 0.6315
Cs 0.3685 0.3685 0.3685
Tm 0.5000 0.0000 0.0000
Tm 0.0000 0.5000 0.0000
Tm 0.0000 0.0000 0.5000
Tl 0.0000 0.0000 0.0000
F 0.2814 0.2814 0.9110
F 0.8814 0.8814 0.4219
F 0.4219 0.8814 0.8814
F 0.9110 0.2814 0.2814
F 0.8814 0.4219 0.8814
F 0.2814 0.9110 0.2814
F 0.7186 0.7186 0.0890
F 0.1186 0.1186 0.5781
F 0.5781 0.1186 0.1186
F 0.0890 0.7186 0.7186
F 0.1186 0.5781 0.1186
F 0.7186 0.0890 0.7186
! space group	No. 166
! formation energy without anion corrections	-83.2	kcal/mol of atoms

# 2
! AcZn2CdPt5 (GGA-PBE, optimized geometry); values from VASP
&SYSTEM
  ibrav = 0, nat = 9, ntyp = 4
/
ATOMIC_SPECIES
Ac 227.00 Ac.upf
Zn 65.41 Zn.upf
Cd 112.41 Cd.upf
Pt 195.08 Pt.upf
CELL_PARAMETERS angstrom
4.6881 0.0000 0.0000
0.0000 4.6881 0.0000
0.0000 0.0000 7.8550
ATOMIC_POSITIONS crystal
Ac 0.0000 0.0000 0.5000
Zn 0.5000 0.5000 0.1540
Zn 0.5000 0.5000 0.8460
Cd 0.0000 0.0000 0.0000
Pt 0.0000 0.5000 0.2423
Pt 0.5000 0.0000 0.2423
Pt 0.0000 0.5000 0.7577
Pt 0.5000 0.0000 0.7577
Pt 0.5000 0.5000 0.5000
! space group	No. 123
! DFT formation energy	-0.379	eV per atom

# 3
! CeDyTeS2 (GGA-PBE, optimized geometry); values from VASP
&SYSTEM
  ibrav = 0, nat = 5, ntyp = 4
/
ATOMIC_SPECIES
Ce 140.12 Ce.upf
Dy 162.50 Dy.upf
Te 127.60 Te.upf
S 32.06 S.upf
CELL_PARAMETERS angstrom
4.4950 0.0000 0.0000
0.0000 4.4950 0.0000
-2.2475 -2.2475 6.8635
ATOMIC_POSITIONS crystal
Ce 0.1369 0.1369 0.2738
Dy 0.8558 0.8558 0.7117
Te 0.5013 0.5013 0.0027
S 0.7530 0.2530 0.5059
S 0.2530 0.7530 0.5059
! space group	No. 107
! formation energy without anion corrections	-36.7	kcal/mol of atoms

Number 1: calculated total energy -104.86 eV/cell. Number 2: calculated total energy -41.19 eV/cell. Number 3: calculated total energy -29.88 eV/cell.